(a)
# GeSbSe2Br

GeSbSe2Br after structural relaxation (GGA-PBE, the Alexandria database).

a b c (Å): 5.412 5.412 5.349
angles (deg): 90.00 90.00 90.00
Fractional coordinates of all 5 atoms:
Sb 0.000 0.000 0.000
Ge 0.500 0.500 0.500
Se 0.000 0.500 0.000
Se 0.500 0.000 0.000
Br 0.000 0.000 0.500

## Properties
- calculated density (g/cm³) = 4.6
- crystal system = tetragonal
- Fermi-level density of states (states/eV per atom) = 0.404

---

(b)
# GeSbSe2Br

GeSbSe2Br after structural relaxation (GGA-PBE, the Alexandria database).

a b c (Å): 5.122 5.122 5.036
angles (deg): 90.00 90.00 90.00
Fractional coordinates of all 5 atoms:
Sb 0.500 0.500 0.500
Ge 0.000 0.000 0.000
Se 0.000 0.500 0.000
Se 0.500 0.000 0.000
Br 0.000 0.000 0.500

## Properties
- calculated density (g/cm³) = 5.4
- crystal system = tetragonal
- Fermi-level density of states (states/eV per atom) = 0.556

---

Energy ordering: (b) at the bottom, the next structure 11.5 kJ/mol of atoms above.

---

(a)
# GeSbTe2Br

GeSbTe2Br after structural relaxation (GGA-PBE, the Alexandria database).

a b c (Å): 5.601 5.601 5.517
angles (deg): 90.00 90.00 90.00
Fractional coordinates of all 5 atoms:
Sb 0.000 0.000 0.500
Ge 0.500 0.500 0.500
Te 0.000 0.500 0.000
Te 0.500 0.000 0.000
Br 0.000 0.000 0.000

## Properties
- calculated density (g/cm³) = 5.1
- crystal system = tetragonal
- Fermi-level density of states (states/eV per atom) = 1.825

---

(b)
# GeSbTe2Br

GeSbTe2Br after structural relaxation (GGA-PBE, the Alexandria database).

a b c (Å): 5.364 5.364 5.605
angles (deg): 90.00 90.00 90.00
Fractional coordinates of all 5 atoms:
Sb 0.000 0.000 0.500
Ge 0.000 0.000 0.000
Te 0.000 0.500 0.000
Te 0.500 0.000 0.000
Br 0.500 0.500 0.500

## Properties
- calculated density (g/cm³) = 5.5
- crystal system = tetragonal
- Fermi-level density of states (states/eV per atom) = 1.080

---

Energy ordering: (b) at the bottom, the next structure 47.3 kJ/mol of atoms above.

---

(a)
# YGeSb2Br

YGeSb2Br after structural relaxation (GGA-PBE, the Alexandria database).

a b c (Å): 5.291 5.681 5.291
angles (deg): 90.00 90.00 90.00
Fractional coordinates of all 5 atoms:
Y 0.000 0.500 0.000
Sb 0.000 0.000 0.500
Sb 0.500 0.000 0.000
Ge 0.000 0.000 0.000
Br 0.500 0.500 0.500

## Properties
- calculated density (g/cm³) = 5.1
- crystal system = tetragonal
- Fermi-level density of states (states/eV per atom) = 0.565

---

(b)
# YGeSb2Br

YGeSb2Br after structural relaxation (GGA-PBE, the Alexandria database).

a b c (Å): 5.896 5.896 5.323
angles (deg): 90.00 90.00 90.00
Fractional coordinates of all 5 atoms:
Y 0.000 0.000 0.000
Sb 0.000 0.500 0.000
Sb 0.500 0.000 0.000
Ge 0.500 0.500 0.500
Br 0.000 0.000 0.500

## Properties
- calculated density (g/cm³) = 4.4
- crystal system = tetragonal
- Fermi-level density of states (states/eV per atom) = 0.932

---

Energy ordering: (a) at the bottom, the next structure 10.3 kJ/mol of atoms above.

---

(a)
# ScGe3Br

ScGe3Br after structural relaxation (GGA-PBE, the Alexandria database).

a b c (Å): 5.297 5.297 5.297
angles (deg): 90.00 90.00 90.00
Fractional coordinates of all 5 atoms:
Sc 0.000 0.000 0.000
Ge 0.000 0.500 0.000
Ge 0.000 0.000 0.500
Ge 0.500 0.000 0.000
Br 0.500 0.500 0.500

## Properties
- calculated density (g/cm³) = 3.8
- crystal system = cubic
- Fermi-level density of states (states/eV per atom) = 1.096

---

(b)
# ScGe3Br

ScGe3Br after structural relaxation (GGA-PBE, the Alexandria database).

a b c (Å): 5.092 5.092 5.092
angles (deg): 90.00 90.00 90.00
Fractional coordinates of all 5 atoms:
Sc 0.500 0.500 0.500
Ge 0.000 0.500 0.000
Ge 0.000 0.000 0.500
Ge 0.500 0.000 0.000
Br 0.000 0.000 0.000

## Properties
- calculated density (g/cm³) = 4.3
- crystal system = cubic
- Fermi-level density of states (states/eV per atom) = 1.082

---

Energy ordering: (a) at the bottom, the next structure 23.2 kJ/mol of atoms above.

---

(a)
# ScGeBr2

ScGeBr2 after structural relaxation (GGA-PBE, the Alexandria database).

a b c (Å): 5.004 5.004 5.004
angles (deg): 60.00 60.00 60.00
Fractional coordinates of all 4 atoms:
Sc 0.000 0.000 0.000
Ge 0.500 0.500 0.500
Br 0.250 0.250 0.250
Br 0.750 0.750 0.750

## Properties
- calculated density (g/cm³) = 5.2
- crystal system = cubic
- Fermi-level density of states (states/eV per atom) = 0.762

---

(b)
# ScGeBr2

ScGeBr2 after structural relaxation (GGA-PBE, the Alexandria database).

a b c (Å): 9.623 9.623 7.343
angles (deg): 49.06 49.06 90.00
Fractional coordinates of all 8 atoms:
Sc 0.500 0.500 0.000
Sc 0.250 0.750 0.500
Ge 0.000 0.000 0.000
Ge 0.750 0.250 0.500
Br 0.478 0.125 0.250
Br 0.272 0.625 0.250
Br 0.375 0.522 0.750
Br 0.875 0.728 0.750

## Properties
- calculated density (g/cm³) = 3.6
- crystal system = tetragonal
- Fermi-level density of states (states/eV per atom) = 0.532

---

Energy ordering: (b) at the bottom, the next structure 27.0 kJ/mol of atoms above.

---

(a)
# ScGeSeBr2

ScGeSeBr2 after structural relaxation (GGA-PBE, the Alexandria database).

a b c (Å): 5.190 5.190 5.330
angles (deg): 90.00 90.00 90.00
Fractional coordinates of all 5 atoms:
Sc 0.500 0.500 0.500
Ge 0.000 0.000 0.000
Se 0.000 0.000 0.500
Br 0.000 0.500 0.000
Br 0.500 0.000 0.000

## Properties
- calculated density (g/cm³) = 4.1
- crystal system = tetragonal
- Fermi-level density of states (states/eV per atom) = 1.318

---

(b)
# ScGeSeBr2

ScGeSeBr2 after structural relaxation (GGA-PBE, the Alexandria database).

a b c (Å): 5.236 5.236 5.267
angles (deg): 90.00 90.00 90.00
Fractional coordinates of all 5 atoms:
Sc 0.000 0.000 0.000
Ge 0.500 0.500 0.500
Se 0.000 0.000 0.500
Br 0.000 0.500 0.000
Br 0.500 0.000 0.000

## Properties
- calculated density (g/cm³) = 4.1
- crystal system = tetragonal
- Fermi-level density of states (states/eV per atom) = 0.431

---

Energy ordering: (b) at the bottom, the next structure 42.8 kJ/mol of atoms above.

---

(a)
# Sc2SnGeBr

Sc2SnGeBr after structural relaxation (GGA-PBE, the Alexandria database).

a b c (Å): 5.256 5.086 5.256
angles (deg): 90.00 90.00 90.00
Fractional coordinates of all 5 atoms:
Sc 0.000 0.000 0.500
Sc 0.500 0.000 0.000
Ge 0.000 0.000 0.000
Sn 0.500 0.500 0.500
Br 0.000 0.500 0.000

## Properties
- calculated density (g/cm³) = 4.3
- crystal system = tetragonal
- Fermi-level density of states (states/eV per atom) = 0.753

---

(b)
# Sc2SnGeBr

Sc2SnGeBr after structural relaxation (GGA-PBE, the Alexandria database).

a b c (Å): 4.986 5.541 4.986
angles (deg): 90.00 90.00 90.00
Fractional coordinates of all 5 atoms:
Sc 0.000 0.000 0.500
Sc 0.500 0.000 0.000
Ge 0.500 0.500 0.500
Sn 0.000 0.500 0.000
Br 0.000 0.000 0.000

## Properties
- calculated density (g/cm³) = 4.4
- crystal system = tetragonal
- Fermi-level density of states (states/eV per atom) = 1.408

---

(c)
# Sc2SnGeBr

Sc2SnGeBr after structural relaxation (GGA-PBE, the Alexandria database).

a b c (Å): 5.017 5.141 5.017
angles (deg): 90.00 90.00 90.00
Fractional coordinates of all 5 atoms:
Sc 0.000 0.000 0.500
Sc 0.500 0.000 0.000
Ge 0.000 0.500 0.000
Sn 0.500 0.500 0.500
Br 0.000 0.000 0.000

## Properties
- calculated density (g/cm³) = 4.6
- crystal system = tetragonal
- Fermi-level density of states (states/eV per atom) = 1.207

---

Energy ordering: (a) at the bottom, the next structure 9.3 kJ/mol of atoms above.

---

(a)
# GeSe2Br

GeSe2Br after structural relaxation (GGA-PBE, the Alexandria database).

a b c (Å): 8.447 8.447 8.447
angles (deg): 26.93 26.93 26.93
Fractional coordinates of all 4 atoms:
Ge 0.500 0.500 0.500
Se 0.894 0.894 0.894
Se 0.106 0.106 0.106
Br 0.000 0.000 0.000

## Properties
- calculated density (g/cm³) = 4.7
- crystal system = trigonal
- Fermi-level density of states (states/eV per atom) = 0.426

---

(b)
# GeSe2Br

GeSe2Br after structural relaxation (GGA-PBE, the Alexandria database).

a b c (Å): 4.979 4.979 4.979
angles (deg): 60.00 60.00 60.00
Fractional coordinates of all 4 atoms:
Ge 0.000 0.000 0.000
Se 0.250 0.250 0.250
Se 0.750 0.750 0.750
Br 0.500 0.500 0.500

## Properties
- calculated density (g/cm³) = 5.9
- crystal system = cubic
- Fermi-level density of states (states/eV per atom) = 0.944

---

Energy ordering: (a) at the bottom, the next structure 50.1 kJ/mol of atoms above.

---

(a)
# GeSe2Br

GeSe2Br after structural relaxation (GGA-PBE, the Alexandria database).

a b c (Å): 4.835 5.238 11.162
angles (deg): 90.02 90.05 90.08
Fractional coordinates of all 8 atoms:
Ge 0.200 0.816 0.183
Ge 0.701 0.316 0.033
Se 0.700 0.634 0.198
Se 0.701 0.631 0.875
Se 0.202 0.131 0.341
Se 0.201 0.134 0.018
Br 0.196 0.853 0.506
Br 0.707 0.352 0.710

## Properties
- calculated density (g/cm³) = 3.6
- crystal system = triclinic
- Fermi-level density of states (states/eV per atom) = 0.234

---

(b)
# GeSe2Br

GeSe2Br after structural relaxation (GGA-PBE, the Alexandria database).

a b c (Å): 7.207 7.207 6.687
angles (deg): 57.39 57.39 90.00
Fractional coordinates of all 8 atoms:
Ge 0.500 0.500 0.000
Ge 0.250 0.750 0.500
Se 0.554 0.125 0.250
Se 0.196 0.625 0.250
Se 0.375 0.446 0.750
Se 0.875 0.804 0.750
Br 0.000 0.000 0.000
Br 0.750 0.250 0.500

## Properties
- calculated density (g/cm³) = 4.6
- crystal system = tetragonal
- Fermi-level density of states (states/eV per atom) = 1.361

---

(c)
# GeSe2Br

GeSe2Br after structural relaxation (GGA-PBE, the Alexandria database).

a b c (Å): 13.674 13.674 13.674
angles (deg): 12.35 12.35 12.35
Fractional coordinates of all 4 atoms:
Ge 0.000 0.000 0.000
Se 0.933 0.933 0.933
Se 0.067 0.067 0.067
Br 0.500 0.500 0.500

## Properties
- calculated density (g/cm³) = 5.1
- crystal system = trigonal
- Fermi-level density of states (states/eV per atom) = 1.071

---

Energy ordering: (a) at the bottom, the next structure 16.0 kJ/mol of atoms above.

---

(a)
# GeSe3Br

GeSe3Br after structural relaxation (GGA-PBE, the Alexandria database).

a b c (Å): 7.137 7.822 6.803
angles (deg): 76.25 77.83 87.16
Fractional coordinates of all 10 atoms:
Ge 0.201 0.637 0.744
Ge 0.805 0.748 0.174
Se 0.152 0.423 0.318
Se 0.544 0.746 0.968
Se 0.941 0.595 0.530
Se 0.721 0.909 0.645
Se 0.946 0.463 0.078
Se 0.551 0.891 0.391
Br 0.380 0.369 0.691
Br 0.016 0.984 0.970

## Properties
- calculated density (g/cm³) = 3.6
- crystal system = triclinic

---

(b)
# GeSe3Br

GeSe3Br after structural relaxation (GGA-PBE, the Alexandria database).

a b c (Å): 5.053 5.053 5.053
angles (deg): 90.00 90.00 90.00
Fractional coordinates of all 5 atoms:
Ge 0.000 0.000 0.000
Se 0.000 0.500 0.000
Se 0.000 0.000 0.500
Se 0.500 0.000 0.000
Br 0.500 0.500 0.500

## Properties
- calculated density (g/cm³) = 5.0
- crystal system = cubic
- Fermi-level density of states (states/eV per atom) = 1.491

---

Energy ordering: (a) at the bottom, the next structure 65.8 kJ/mol of atoms above.

---

(a)
# SnGeSeBr2

SnGeSeBr2 after structural relaxation (GGA-PBE, the Alexandria database).

a b c (Å): 5.509 5.485 5.509
angles (deg): 90.00 90.00 90.00
Fractional coordinates of all 5 atoms:
Ge 0.500 0.500 0.500
Se 0.000 0.500 0.000
Sn 0.000 0.000 0.000
Br 0.000 0.000 0.500
Br 0.500 0.000 0.000

## Properties
- calculated density (g/cm³) = 4.3
- crystal system = tetragonal
- Fermi-level density of states (states/eV per atom) = 0.784

---

(b)
# SnGeSeBr2

SnGeSeBr2 after structural relaxation (GGA-PBE, the Alexandria database).

a b c (Å): 5.251 5.251 5.317
angles (deg): 90.00 90.00 90.00
Fractional coordinates of all 5 atoms:
Ge 0.000 0.000 0.000
Se 0.000 0.000 0.500
Sn 0.500 0.500 0.500
Br 0.000 0.500 0.000
Br 0.500 0.000 0.000

## Properties
- calculated density (g/cm³) = 4.9
- crystal system = tetragonal
- Fermi-level density of states (states/eV per atom) = 0.359

---

Energy ordering: (b) at the bottom, the next structure 25.2 kJ/mol of atoms above.

---

(a)
# SnGeSe2Br

SnGeSe2Br after structural relaxation (GGA-PBE, the Alexandria database).

a b c (Å): 5.345 5.345 5.349
angles (deg): 90.00 90.00 90.00
Fractional coordinates of all 5 atoms:
Ge 0.500 0.500 0.500
Se 0.000 0.500 0.000
Se 0.500 0.000 0.000
Sn 0.000 0.000 0.000
Br 0.000 0.000 0.500

## Properties
- calculated density (g/cm³) = 4.7
- crystal system = tetragonal
- Fermi-level density of states (states/eV per atom) = 0.644

---

(b)
# SnGeSe2Br

SnGeSe2Br after structural relaxation (GGA-PBE, the Alexandria database).

a b c (Å): 5.106 5.106 5.218
angles (deg): 90.00 90.00 90.00
Fractional coordinates of all 5 atoms:
Ge 0.000 0.000 0.000
Se 0.000 0.500 0.000
Se 0.500 0.000 0.000
Sn 0.500 0.500 0.500
Br 0.000 0.000 0.500

## Properties
- calculated density (g/cm³) = 5.2
- crystal system = tetragonal
- Fermi-level density of states (states/eV per atom) = 0.497

---

Energy ordering: (b) at the bottom, the next structure 28.1 kJ/mol of atoms above.